Density functional theory data (PBE with a Hubbard U) for crystalline Na2Ni3RuF12 at its relaxed geometry.

a = 7.4870 Å, b = 7.4870 Å, c = 7.4870 Å
α = 56.61°, β = 56.61°, γ = 56.61°
Last column: magnetic moment on the atom in μB.
Sites, in units of the cell vectors:
F 0.3201 0.9266 0.9266  0.08
F 0.6635 0.0898 0.6635  0.05
F 0.6635 0.6635 0.0898  0.05
F 0.9266 0.9266 0.3201  0.08
F 0.3365 0.3365 0.9102  0.05
F 0.9266 0.3201 0.9266  0.08
F 0.0734 0.0734 0.6799  0.08
F 0.6799 0.0734 0.0734  0.08
F 0.0898 0.6635 0.6635  0.05
F 0.0734 0.6799 0.0734  0.08
F 0.3365 0.9102 0.3365  0.05
F 0.9102 0.3365 0.3365  0.05
Na 0.4222 0.4222 0.4222  0.00
Na 0.5778 0.5778 0.5778  0.00
Ni 0.0000 0.0000 0.5000  1.83
Ni 0.5000 0.0000 0.0000  1.83
Ni 0.0000 0.5000 0.0000  1.83
Ru 0.0000 0.0000 0.0000  1.57

Results
The value obtained for the calculated volume is 273.52 Å³/f.u. The space group is R-3m, No. 166. The electronic total energy is -79.958 eV per formula unit.